80
Lattice="-6.1036 6.1036 6.1036 6.1036 -6.1036 6.1036 6.1036 6.1036 -6.1036" Properties=species:S:1:pos:R:3 comment="Li3Ho3Te2O12 (PBEsol, optimized geometry)" e_form_raw_ev_per_atom=-2.412 space_group="Ia-3d, No. 230" pbc="T T T"
Li 9.1554 1.5259 0.0000
Li 6.1036 -3.0518 4.5777
Li 4.5777 6.1036 -3.0518
Li 4.5777 0.0000 3.0518
Li 3.0518 4.5777 0.0000
Li 6.1036 3.0518 1.5259
Li 0.0000 3.0518 4.5777
Li 3.0518 1.5259 6.1036
Li 1.5259 6.1036 3.0518
Li 1.5259 0.0000 9.1554
Li 0.0000 9.1554 1.5259
Li -3.0518 4.5777 6.1036
Ho 3.0518 1.5259 0.0000
Ho 6.1036 3.0518 -1.5259
Ho 1.5259 0.0000 3.0518
Ho 7.6295 0.0000 3.0518
Ho 0.0000 3.0518 1.5259
Ho 3.0518 -1.5259 6.1036
Ho 3.0518 7.6295 0.0000
Ho 6.1036 3.0518 4.5777
Ho -1.5259 6.1036 3.0518
Ho 4.5777 6.1036 3.0518
Ho 0.0000 3.0518 7.6295
Ho 3.0518 4.5777 6.1036
Te 0.0000 0.0000 0.0000
Te 3.0518 3.0518 -3.0518
Te 3.0518 -3.0518 3.0518
Te 6.1036 0.0000 0.0000
Te -3.0518 3.0518 3.0518
Te 0.0000 6.1036 0.0000
Te 0.0000 0.0000 6.1036
Te 3.0518 3.0518 3.0518
O 1.7955 -0.3160 0.6662
O 7.3599 3.7180 -3.3678
O 7.8991 0.3160 0.6662
O 7.3599 -2.3856 3.3678
O 5.7876 -0.6662 1.7955
O 9.4714 -1.2563 2.3856
O 0.6662 1.7955 -0.3160
O 8.4893 2.7358 -1.2563
O 3.7180 3.3678 -1.2563
O 5.4374 1.7955 0.3160
O -0.3160 0.6662 1.7955
O 3.3678 -1.2563 3.7180
O 5.7876 5.4374 -1.7955
O 3.3678 1.2563 2.3856
O 3.7180 -3.3678 7.3599
O 5.4374 -1.7955 5.7876
O 2.3856 3.3678 1.2563
O 6.7698 4.3081 0.3160
O 3.3678 7.3599 -2.3856
O 5.7876 0.6662 4.3081
O 1.7955 5.7876 -0.6662
O 7.3599 2.3856 2.7358
O 1.2563 2.3856 3.3678
O 1.7955 0.3160 5.4374
O 4.3081 5.7876 0.6662
O 4.8473 3.7180 2.7358
O -1.2563 3.7180 3.3678
O 4.3081 0.3160 6.7698
O 0.3160 5.4374 1.7955
O 2.7358 -1.2563 8.4893
O -0.6662 1.7955 5.7876
O 3.7180 2.7358 4.8473
O 0.6662 7.8991 0.3160
O 2.3856 9.4714 -1.2563
O 2.7358 4.8473 3.7180
O 0.3160 0.6662 7.8991
O 2.7358 7.3599 2.3856
O 6.4196 5.4374 4.3081
O 0.6662 4.3081 5.7876
O 2.3856 2.7358 7.3599
O -2.3856 3.3678 7.3599
O 5.4374 4.3081 6.4196
O -3.3678 7.3599 3.7180
O 0.3160 6.7698 4.3081
O -1.2563 8.4893 2.7358
O -1.7955 5.7876 5.4374
O -1.2563 2.3856 9.4714
O 4.3081 6.4196 5.4374

24
Lattice="4.9737 0.0000 0.0000 0.0000 5.8103 0.0000 -4.3852 0.0000 9.9058" Properties=species:S:1:pos:R:3 comment="LiHoW2O8 (PBEsol, optimized geometry)" e_form_raw_ev_per_atom=-2.540 space_group="P2/c, No. 13" pbc="T T T"
Li -1.0963 1.3476 2.4765
Li -3.2889 4.4627 7.4294
Ho -0.8021 1.0995 7.4294
Ho 1.3905 4.7108 2.4765
W 1.2552 1.8626 0.1572
W -0.9374 3.9477 5.1101
W 1.5259 1.8626 4.7957
W -0.6667 3.9477 9.7486
O -1.8635 2.2686 5.9013
O 0.3291 3.5417 0.9484
O 0.5411 0.7419 1.3597
O -1.6515 5.0684 6.3126
O -2.4884 0.7357 8.8150
O -0.2958 5.0747 3.8621
O 0.0292 2.4083 3.8319
O -2.1634 3.4020 8.7848
O 2.7519 2.4083 1.1210
O 0.5593 3.4020 6.0740
O 0.8843 0.7357 6.0437
O 3.0769 5.0747 1.0908
O 2.2400 0.7419 3.5932
O 0.0474 5.0684 8.5461
O 0.2594 2.2686 8.9574
O 2.4520 3.5417 4.0045

4
Lattice="0.0000 3.2532 3.2532 3.2532 0.0000 3.2532 3.2532 3.2532 0.0000" Properties=species:S:1:pos:R:3 comment="LiHoPd2 (PBEsol, optimized geometry)" formation_enthalpy_0k_ev_per_atom=-0.66 space_group="Fm-3m, No. 225" pbc="T T T"
Li 0.0000 0.0000 0.0000
Ho 3.2532 3.2532 3.2532
Pd 1.6266 1.6266 1.6266
Pd 4.8798 4.8798 4.8798

6
Lattice="4.4847 0.0000 0.0000 -2.2423 3.8839 0.0000 0.0000 0.0000 7.0198" Properties=species:S:1:pos:R:3 comment="Li3HoSb2 (PBEsol, optimized geometry)" e_form_raw_ev_per_atom=-0.832 space_group="P-3m1, No. 164" pbc="T T T"
Li 0.0000 0.0000 0.0000
Li 0.0000 2.5892 1.0668
Li 2.2423 1.2946 5.9529
Ho 0.0000 0.0000 3.5099
Sb 0.0000 2.5892 5.2387
Sb 2.2423 1.2946 1.7811